Arrangement w

Compound: Pm8CuIr2
Source: Alexandria
Functional: PBE-GGA
Structure: relaxed

CIF file:
```
data_Pm8CuIr2
_symmetry_space_group_name_H-M 'C 1 m 1'
_symmetry_Int_Tables_number 8
_cell_length_a 8.5987
_cell_length_b 12.4904
_cell_length_c 6.3139
_cell_angle_alpha 90.00
_cell_angle_beta 107.44
_cell_angle_gamma 90.00
loop_
_symmetry_equiv_pos_as_xyz
'x,y,z'
'x,-y,z'
'x+1/2,y+1/2,z'
'x+1/2,-y+1/2,z'
loop_
_atom_site_label
_atom_site_type_symbol
_atom_site_fract_x
_atom_site_fract_y
_atom_site_fract_z
_atom_site_occupancy
Pm1 Pm 0.0000 0.0000 0.0000 1
Pm2 Pm 0.0758 0.3637 0.8282 1
Pm3 Pm 0.1565 0.1335 0.5873 1
Pm4 Pm 0.2206 0.5000 0.3983 1
Pm5 Pm 0.3713 0.2157 0.2061 1
Cu1 Cu 0.3594 0.0000 0.0084 1
Ir1 Ir 0.3632 0.3156 0.6965 1
```

Computed properties:
The calculation puts the spin magnetization at 0.00 Bohr magnetons per cell. The calculation puts the density of states at the Fermi level at 23.00 states/eV/cell.


Arrangement x

Compound: Pm8CuIr2
Source: Alexandria
Functional: PBE-GGA
Structure: relaxed

CIF file:
```
data_Pm8CuIr2
_symmetry_space_group_name_H-M 'C 1 2/m 1'
_symmetry_Int_Tables_number 12
_cell_length_a 17.8250
_cell_length_b 5.0280
_cell_length_c 6.9985
_cell_angle_alpha 90.00
_cell_angle_beta 102.23
_cell_angle_gamma 90.00
loop_
_symmetry_equiv_pos_as_xyz
'x,y,z'
'-x,-y,-z'
'-x,y,-z'
'x,-y,z'
'x+1/2,y+1/2,z'
'-x+1/2,-y+1/2,-z'
'-x+1/2,y+1/2,-z'
'x+1/2,-y+1/2,z'
loop_
_atom_site_label
_atom_site_type_symbol
_atom_site_fract_x
_atom_site_fract_y
_atom_site_fract_z
_atom_site_occupancy
Pm1 Pm 0.0376 0.0000 0.2762 1
Pm2 Pm 0.0904 0.5000 0.9510 1
Pm3 Pm 0.1682 0.5000 0.4663 1
Pm4 Pm 0.2029 0.0000 0.8282 1
Cu1 Cu 0.0000 0.5000 0.5000 1
Ir1 Ir 0.1990 0.0000 0.2321 1
```

Computed properties:
The calculation puts the spin magnetization at 0.00 Bohr magnetons per cell. The calculation puts the density of states at the Fermi level at 21.28 states/eV/cell.


arrangement x is preferred energetically. Next in line: 69 meV/atom higher.


Arrangement w

Compound: Pm2CuIr
Source: Alexandria
Functional: PBE-GGA
Structure: relaxed

CIF file:
```
data_Pm2CuIr
_symmetry_space_group_name_H-M 'F m -3 m'
_symmetry_Int_Tables_number 225
_symmetry_space_group_name_Hall '-F 4 2 3'
_cell_length_a 7.0799
_cell_length_b 7.0799
_cell_length_c 7.0799
_cell_angle_alpha 90.00
_cell_angle_beta 90.00
_cell_angle_gamma 90.00
loop_
_atom_site_label
_atom_site_type_symbol
_atom_site_fract_x
_atom_site_fract_y
_atom_site_fract_z
_atom_site_occupancy
Pm1 Pm 0.2500 0.2500 0.2500 1
Cu1 Cu 0.0000 0.0000 0.0000 1
Ir1 Ir 0.0000 0.0000 0.5000 1
```

Computed properties:
The calculation puts the spin magnetization at 0.00 Bohr magnetons per cell. The calculation puts the density of states at the Fermi level at 14.08 states/eV/cell.


Arrangement x

Compound: Pm2CuIr
Source: Alexandria
Functional: PBE-GGA
Structure: relaxed

CIF file:
```
data_Pm2CuIr
_symmetry_space_group_name_H-M 'P 1 21/m 1'
_symmetry_Int_Tables_number 11
_cell_length_a 5.7101
_cell_length_b 4.4080
_cell_length_c 7.8485
_cell_angle_alpha 90.00
_cell_angle_beta 110.38
_cell_angle_gamma 90.00
loop_
_symmetry_equiv_pos_as_xyz
'x,y,z'
'-x,-y,-z'
'-x,y+1/2,-z'
'x,-y+1/2,z'
loop_
_atom_site_label
_atom_site_type_symbol
_atom_site_fract_x
_atom_site_fract_y
_atom_site_fract_z
_atom_site_occupancy
Pm1 Pm 0.2172 0.2500 0.4363 1
Pm2 Pm 0.2277 0.2500 0.9254 1
Cu1 Cu 0.3499 0.7500 0.2130 1
Ir1 Ir 0.3501 0.7500 0.7150 1
```

Computed properties:
The calculation puts the spin magnetization at 0.00 Bohr magnetons per cell. The calculation puts the density of states at the Fermi level at 4.91 states/eV/cell.


Arrangement y

Compound: Pm2CuIr
Source: Alexandria
Functional: PBE-GGA
Structure: relaxed

CIF file:
```
data_Pm2CuIr
_symmetry_space_group_name_H-M 'P 4/m m m'
_symmetry_Int_Tables_number 123
_symmetry_space_group_name_Hall '-P 4 2'
_cell_length_a 4.9612
_cell_length_b 4.9612
_cell_length_c 3.5948
_cell_angle_alpha 90.00
_cell_angle_beta 90.00
_cell_angle_gamma 90.00
loop_
_atom_site_label
_atom_site_type_symbol
_atom_site_fract_x
_atom_site_fract_y
_atom_site_fract_z
_atom_site_occupancy
Pm1 Pm 0.0000 0.5000 0.0000 1
Cu1 Cu 0.0000 0.0000 0.5000 1
Ir1 Ir 0.5000 0.5000 0.5000 1
```

Computed properties:
The calculation puts the spin magnetization at 0.00 Bohr magnetons per cell. The calculation puts the density of states at the Fermi level at 2.86 states/eV/cell.


arrangement x is preferred energetically. Next in line: 83 meV/atom higher.


Arrangement w

Compound: PmPrCuIr
Source: Alexandria
Functional: PBE-GGA
Structure: relaxed

CIF file:
```
data_PmPrCuIr
_symmetry_space_group_name_H-M 'F -4 3 m'
_symmetry_Int_Tables_number 216
_symmetry_space_group_name_Hall 'F -4 2 3'
_cell_length_a 7.1328
_cell_length_b 7.1328
_cell_length_c 7.1328
_cell_angle_alpha 90.00
_cell_angle_beta 90.00
_cell_angle_gamma 90.00
loop_
_atom_site_label
_atom_site_type_symbol
_atom_site_fract_x
_atom_site_fract_y
_atom_site_fract_z
_atom_site_occupancy
Pm1 Pm 0.0000 0.0000 0.0000 1
Pr1 Pr 0.0000 0.0000 0.5000 1
Cu1 Cu 0.2500 0.2500 0.2500 1
Ir1 Ir 0.2500 0.2500 0.7500 1
```

Computed properties:
The calculation puts the spin magnetization at 0.00 Bohr magnetons per cell. The calculation puts the density of states at the Fermi level at 15.19 states/eV/cell.


Arrangement x

Compound: PmPrCuIr
Source: Alexandria
Functional: PBE-GGA
Structure: relaxed

CIF file:
```
data_PmPrCuIr
_symmetry_space_group_name_H-M 'A m m 2'
_symmetry_Int_Tables_number 38
_cell_length_a 4.4139
_cell_length_b 3.9894
_cell_length_c 10.7428
_cell_angle_alpha 90.00
_cell_angle_beta 90.00
_cell_angle_gamma 90.00
loop_
_symmetry_equiv_pos_as_xyz
'x,y,z'
'-x,-y,z'
'-x,y,z'
'x,-y,z'
'x,y+1/2,z+1/2'
'-x,-y+1/2,z+1/2'
'-x,y+1/2,z+1/2'
'x,-y+1/2,z+1/2'
loop_
_atom_site_label
_atom_site_type_symbol
_atom_site_fract_x
_atom_site_fract_y
_atom_site_fract_z
_atom_site_occupancy
Pm1 Pm 0.0000 0.0000 0.0000 1
Pr1 Pr 0.5000 0.0000 0.2769 1
Cu1 Cu 0.0000 0.0000 0.7078 1
Ir1 Ir 0.5000 0.0000 0.5601 1
```

Computed properties:
The calculation puts the spin magnetization at 0.00 Bohr magnetons per cell. The calculation puts the density of states at the Fermi level at 6.24 states/eV/cell.


arrangement x is preferred energetically. Next in line: 51 meV/atom higher.


Arrangement w

Compound: TbPmCuIr
Source: Alexandria
Functional: PBE-GGA
Structure: relaxed

CIF file:
```
data_TbPmCuIr
_symmetry_space_group_name_H-M 'F -4 3 m'
_symmetry_Int_Tables_number 216
_symmetry_space_group_name_Hall 'F -4 2 3'
_cell_length_a 7.0025
_cell_length_b 7.0025
_cell_length_c 7.0025
_cell_angle_alpha 90.00
_cell_angle_beta 90.00
_cell_angle_gamma 90.00
loop_
_atom_site_label
_atom_site_type_symbol
_atom_site_fract_x
_atom_site_fract_y
_atom_site_fract_z
_atom_site_occupancy
Tb1 Tb 0.0000 0.0000 0.0000 1
Pm1 Pm 0.0000 0.0000 0.5000 1
Cu1 Cu 0.2500 0.2500 0.7500 1
Ir1 Ir 0.2500 0.2500 0.2500 1
```

Computed properties:
The calculation puts the spin magnetization at 0.00 Bohr magnetons per cell. The calculation puts the density of states at the Fermi level at 11.13 states/eV/cell.


Arrangement x

Compound: TbPmCuIr
Source: Alexandria
Functional: PBE-GGA
Structure: relaxed

CIF file:
```
data_TbPmCuIr
_symmetry_space_group_name_H-M 'A m m 2'
_symmetry_Int_Tables_number 38
_cell_length_a 4.3606
_cell_length_b 3.9036
_cell_length_c 10.5625
_cell_angle_alpha 90.00
_cell_angle_beta 90.00
_cell_angle_gamma 90.00
loop_
_symmetry_equiv_pos_as_xyz
'x,y,z'
'-x,-y,z'
'-x,y,z'
'x,-y,z'
'x,y+1/2,z+1/2'
'-x,-y+1/2,z+1/2'
'-x,y+1/2,z+1/2'
'x,-y+1/2,z+1/2'
loop_
_atom_site_label
_atom_site_type_symbol
_atom_site_fract_x
_atom_site_fract_y
_atom_site_fract_z
_atom_site_occupancy
Tb1 Tb 0.0000 0.0000 0.0000 1
Pm1 Pm 0.5000 0.0000 0.2777 1
Cu1 Cu 0.0000 0.0000 0.7087 1
Ir1 Ir 0.5000 0.0000 0.5584 1
```

Computed properties:
The calculation puts the spin magnetization at 0.00 Bohr magnetons per cell. The calculation puts the density of states at the Fermi level at 5.84 states/eV/cell.


arrangement x is preferred energetically. Next in line: 26 meV/atom higher.